Below is crystalline NdEuHgRh at its relaxed geometry, with properties calculated at the PBE level.

* symmetry: F-43m (216)
* magnetization: 1.7442 μB/atom
* formation energy from the elements: -0.454 eV/atom
* DFT total energy: -6.1275 eV/atom
* V: 25.05 Å³/atom

Geometry as extended XYZ:
```
4
Lattice="0.000 3.686 3.686 3.686 0.000 3.686 3.686 3.686 0.000" Properties=species:S:1:pos:R:3 pbc="T T T"
Nd 0.000 0.000 0.000
Eu 3.686 3.686 3.686
Hg 5.530 5.530 5.530
Rh 1.843 1.843 1.843
```